Entry 1:
{
  "formula": "Be2PCl",
  "functional": "GGA-PBE",
  "state": "relaxed",
  "total_magnetization_mub_per_fu": 0.00,
  "energy_ev_per_cell": -14.2,
  "polymorph_energy_kj_per_mol_fu": 246,
  "lattice": [[5.5372, -0.2596, 0.1892], [-1.5807, 5.3131, -0.1892], [0.5553, -4.5103, 3.1800]],
  "species": ["P", "Be", "Be", "Cl"],
  "frac_coords": [[0.2500, 0.7500, 0.5000], [0.0546, 0.0546, 0.0000], [0.4454, 0.4454, 0.0000], [0.7500, 0.2500, 0.5000]]
}

=====

Entry 2:
{
  "formula": "TiMn3Pb",
  "functional": "GGA-PBE",
  "state": "relaxed",
  "total_magnetization_mub_per_fu": 8.85,
  "energy_ev_per_cell": -34.5,
  "polymorph_energy_kj_per_mol_fu": 0,
  "lattice": [[4.6481, 0.0000, 0.0000], [0.0000, 4.6481, 0.0000], [0.0000, 0.0000, 4.6481]],
  "species": ["Pb", "Mn", "Mn", "Mn", "Ti"],
  "frac_coords": [[0.5000, 0.5000, 0.5000], [0.0000, 0.5000, 0.0000], [0.0000, 0.0000, 0.5000], [0.5000, 0.0000, 0.0000], [0.0000, 0.0000, 0.0000]]
}

=====

Entry 3:
{
  "formula": "In2Hg17I2",
  "functional": "GGA-PBE",
  "state": "relaxed",
  "total_magnetization_mub_per_fu": 0.00,
  "energy_ev_per_cell": -14.9,
  "lattice": [[9.8969, 0.2846, 1.4044], [1.3180, 8.2897, 0.8569], [0.4821, 0.0177, 8.4237]],
  "species": ["In", "In", "Hg", "Hg", "Hg", "Hg", "Hg", "Hg", "Hg", "Hg", "Hg", "Hg", "Hg", "Hg", "Hg", "Hg", "Hg", "Hg", "Hg", "I", "I"],
  "frac_coords": [[0.5000, 0.0000, 0.5000], [0.5000, 0.5000, 0.0000], [0.1073, 0.1221, 0.1221], [0.8927, 0.8779, 0.8779], [0.0000, 0.3525, 0.6475], [0.7838, 0.9772, 0.2614], [0.2162, 0.7386, 0.0228], [0.2162, 0.0228, 0.7386], [0.7838, 0.2614, 0.9772], [0.0000, 0.6475, 0.3525], [0.6705, 0.6726, 0.1722], [0.1868, 0.6368, 0.6368], [0.6705, 0.1722, 0.6726], [0.3295, 0.3274, 0.8278], [0.8132, 0.3632, 0.3632], [0.3295, 0.8278, 0.3274], [0.5000, 0.0000, 0.0000], [0.0000, 0.5000, 0.0000], [0.0000, 0.0000, 0.5000], [0.3271, 0.3224, 0.3224], [0.6729, 0.6776, 0.6776]]
}

=====

Entry 4:
{
  "formula": "BeTlMo",
  "functional": "GGA-PBE",
  "state": "relaxed",
  "total_magnetization_mub_per_fu": 0.00,
  "energy_ev_per_cell": -14.7,
  "polymorph_energy_kj_per_mol_fu": 23,
  "lattice": [[6.7103, 0.0445, -0.0372], [5.9083, 2.8243, -0.0604], [0.8020, -0.5166, 2.7315]],
  "species": ["Be", "Tl", "Mo"],
  "frac_coords": [[0.0170, 0.0170, 0.9830], [0.3380, 0.3380, 0.6620], [0.6450, 0.6450, 0.3550]]
}

=====

Entry 5:
{
  "formula": "Ti2Cu2Bi",
  "functional": "GGA-PBE",
  "state": "relaxed",
  "total_magnetization_mub_per_fu": 0.00,
  "energy_ev_per_cell": -26.8,
  "polymorph_energy_kj_per_mol_fu": 80,
  "lattice": [[3.4923, 0.0000, 0.0000], [0.0000, 3.4923, 0.0000], [1.7461, 1.7461, 7.3340]],
  "species": ["Bi", "Cu", "Cu", "Ti", "Ti"],
  "frac_coords": [[0.0000, 0.0000, 0.0000], [0.7500, 0.2500, 0.5000], [0.2500, 0.7500, 0.5000], [0.3871, 0.3871, 0.2259], [0.6129, 0.6129, 0.7741]]
}

=====

Entry 6:
{
  "formula": "NpSi6Pd12",
  "functional": "GGA-PBE",
  "state": "relaxed",
  "total_magnetization_mub_per_fu": 4.53,
  "energy_ev_per_cell": -118.1,
  "lattice": [[7.0815, -0.0661, -0.0931], [-1.8194, 6.8441, -0.0931], [-1.8194, -2.3436, 6.4310]],
  "species": ["Np", "Si", "Si", "Si", "Si", "Si", "Si", "Pd", "Pd", "Pd", "Pd", "Pd", "Pd", "Pd", "Pd", "Pd", "Pd", "Pd", "Pd"],
  "frac_coords": [[0.0000, 0.0000, 0.0000], [0.6905, 0.2496, 0.2496], [0.2496, 0.2496, 0.6905], [0.2496, 0.6905, 0.2496], [0.7504, 0.7504, 0.3095], [0.3095, 0.7504, 0.7504], [0.7504, 0.3095, 0.7504], [0.8752, 0.1248, 0.5000], [0.8275, 0.5654, 0.5654], [0.5654, 0.5654, 0.8275], [0.4346, 0.1725, 0.4346], [0.4346, 0.4346, 0.1725], [0.1725, 0.4346, 0.4346], [0.1248, 0.5000, 0.8752], [0.5000, 0.8752, 0.1248], [0.1248, 0.8752, 0.5000], [0.8752, 0.5000, 0.1248], [0.5000, 0.1248, 0.8752], [0.5654, 0.8275, 0.5654]]
}

=====

Entry 7:
{
  "formula": "V2ZnCrN",
  "functional": "GGA-PBE",
  "state": "relaxed",
  "total_magnetization_mub_per_fu": 0.66,
  "energy_ev_per_cell": -39.4,
  "polymorph_energy_kj_per_mol_fu": 0,
  "lattice": [[3.9548, 0.0000, 0.0000], [0.0000, 3.9548, 0.0000], [0.0000, 0.0000, 3.7970]],
  "species": ["Cr", "Zn", "N", "V", "V"],
  "frac_coords": [[0.0000, 0.0000, 0.5000], [0.5000, 0.5000, 0.5000], [0.0000, 0.0000, 0.0000], [0.0000, 0.5000, 0.0000], [0.5000, 0.0000, 0.0000]]
}

=====

Entry 8:
{
  "formula": "Zn2TcSe",
  "functional": "GGA-PBE",
  "state": "relaxed",
  "total_magnetization_mub_per_fu": 0.00,
  "energy_ev_per_cell": -15.4,
  "polymorph_energy_kj_per_mol_fu": 89,
  "lattice": [[2.8526, -0.0032, 0.0000], [-1.3295, 2.5238, 0.0000], [0.0000, 0.0000, 10.1424]],
  "species": ["Se", "Tc", "Zn", "Zn"],
  "frac_coords": [[0.0000, 0.0000, 0.5628], [0.5000, 0.5000, 0.7582], [0.0000, 0.0000, 0.9757], [0.5000, 0.5000, 0.2033]]
}